Entry 1:
A plane-wave DFT calculation with PBE was carried out for a geometry-optimized InAuBr4 structure.

Calculated total energy: -9.68 eV for the cell shown
Formation energy without anion corrections: 0.504 eV per atom
Magnetic moment: 0.0 μB per cell

Lattice parameters (Å, degrees): 6.351 6.351 6.351 60.00 60.00 60.00
Atoms (fractional coordinates):
In 0.750 0.750 0.750
Br 0.373 0.373 0.881
Br 0.373 0.373 0.373
Br 0.881 0.373 0.373
Br 0.373 0.881 0.373
Au 0.000 0.000 0.000

---

Entry 2:
A plane-wave DFT calculation with PBE was carried out for a geometry-optimized Pm8Si3NiCl4 structure.

Calculated total energy: -84.87 eV for the cell shown
Formation energy without anion corrections: -1.089 eV per atom
Magnetic moment: 0.0 μB per cell

Lattice parameters (Å, degrees): 8.362 8.422 8.361 119.77 120.00 90.00
Atoms (fractional coordinates):
Pm 0.250 0.279 0.014
Pm 0.764 0.278 0.528
Pm 0.257 0.271 0.514
Pm 0.743 0.729 0.486
Pm 0.236 0.721 0.986
Pm 0.236 0.722 0.472
Pm 0.764 0.279 0.014
Pm 0.750 0.721 0.986
Cl 0.000 0.000 0.500
Cl 0.500 0.000 0.000
Cl 0.000 0.000 0.000
Cl 0.500 0.000 0.500
Ni 0.000 0.500 0.000
Si 0.500 0.500 0.000
Si 0.500 0.500 0.500
Si 0.000 0.500 0.500

---

Entry 3:
A plane-wave DFT calculation with PBE was carried out for a geometry-optimized Ca3Ga3Ni2 structure.

Calculated total energy: -60.38 eV for the cell shown
E_form: -443 meV/atom
Magnetic moment: 0.0 μB per cell

Lattice parameters (Å, degrees): 4.161 5.764 15.083 90.00 90.00 111.16
Atoms (fractional coordinates):
Ga 0.660 0.319 0.750
Ga 0.660 0.319 0.038
Ga 0.340 0.681 0.538
Ga 0.660 0.319 0.462
Ga 0.340 0.681 0.962
Ga 0.340 0.681 0.250
Ca 0.063 0.126 0.893
Ca 0.361 0.722 0.750
Ca 0.063 0.126 0.607
Ca 0.937 0.874 0.393
Ca 0.937 0.874 0.107
Ca 0.639 0.278 0.250
Ni 0.775 0.551 0.607
Ni 0.225 0.449 0.393
Ni 0.775 0.551 0.893
Ni 0.225 0.449 0.107

---

Entry 4:
A plane-wave DFT calculation with PBE was carried out for a geometry-optimized YBrN2F structure.

Calculated total energy: -26.87 eV for the cell shown
Formation energy without anion corrections: -0.041 eV per atom
Energy above the most stable polymorph in this dataset: 0 meV/atom
Magnetic moment: 4.2 μB per cell

Lattice parameters (Å, degrees): 4.806 4.806 4.313 90.00 90.00 90.00
Site moments in Bohr magnetons follow the coordinates.
Atoms (fractional coordinates):
Br 0.500 0.500 0.500  0.22
N 0.500 0.000 0.000  1.28
N 0.000 0.500 0.000  1.28
F 0.000 0.000 0.500  0.02
Y 0.000 0.000 0.000  0.03

---

Entry 5:
A plane-wave DFT calculation with PBE was carried out for a geometry-optimized LiCa2P3Pd4 structure.

Calculated total energy: -51.24 eV for the cell shown
E_form: -833 meV/atom
Magnetic moment: 0.0 μB per cell

Lattice parameters (Å, degrees): 4.179 4.179 9.859 90.00 90.00 90.00
Atoms (fractional coordinates):
P 0.500 0.000 0.864
P 0.000 0.000 0.500
P 0.000 0.500 0.136
Li 0.500 0.500 0.500
Pd 0.000 0.500 0.372
Pd 0.500 0.500 0.000
Pd 0.500 0.000 0.628
Pd 0.000 0.000 0.000
Ca 0.000 0.500 0.751
Ca 0.500 0.000 0.249

---

Entry 6:
A plane-wave DFT calculation with PBE was carried out for a geometry-optimized LiMn2NbAl structure.

Calculated total energy: -28.67 eV for the cell shown
E_form: 1079 meV/atom
Magnetic moment: 6.5 μB per cell

Lattice parameters (Å, degrees): 4.675 4.887 4.675 90.00 90.00 90.00
Site moments in Bohr magnetons follow the coordinates.
Atoms (fractional coordinates):
Mn 0.000 0.000 0.500  3.74
Mn 0.500 0.000 0.000  3.64
Li 0.500 0.500 0.500  -0.04
Al 0.000 0.000 0.000  -0.05
Nb 0.000 0.500 0.000  -0.77

---

The highest calculated total energy belongs to which entry?
InAuBr4